This record from Alexandria describes a relaxed LiCrOF2 crystal. The functional is GGA+U.

Calculated values
total magnetic moment	0.600	μB per atom
calculated density	3.150	g/cm3
relative energy among the computed polymorphs	0	kJ/mol of formula units

abc: 3.931 3.931 3.854
angles: 90.00 90.00 90.00
Element x y z (fractional)
Li 0.000 0.000 0.000
Cr 0.500 0.500 0.500
O 0.500 0.500 0.000
F 0.000 0.500 0.500
F 0.500 0.000 0.500